(1)
{
  "formula": "KNi3As2",
  "functional": "PBE",
  "state": "optimized geometry",
  "magmom_total_mub_per_fu": 0.0,
  "total_energy_ev_per_atom": -4.96,
  "crystal_system": "monoclinic",
  "formation_energy_ev_per_atom": -0.333,
  "lattice_angstrom": [[-2.132, -2.991, 0.871], [5.871, -2.946, -3.931], [1.962, 0.947, 8.057]],
  "species": ["Ni", "Ni", "Ni", "Ni", "Ni", "Ni", "As", "As", "As", "As", "K", "K"],
  "fractional_positions": [[0.581, 0.162, 0.632], [0.685, 0.370, 0.453], [0.951, 0.902, 0.599], [0.419, 0.838, 0.368], [0.049, 0.098, 0.401], [0.315, 0.630, 0.547], [0.187, 0.374, 0.653], [0.472, 0.944, 0.771], [0.528, 0.056, 0.229], [0.813, 0.626, 0.347], [0.146, 0.293, 0.049], [0.854, 0.707, 0.951]]
}

---

(2)
{
  "formula": "KNiAs",
  "functional": "PBE",
  "state": "optimized geometry",
  "magmom_total_mub_per_fu": 0.0,
  "total_energy_ev_per_atom": -4.20,
  "crystal_system": "triclinic",
  "formation_energy_ev_per_atom": -0.360,
  "lattice_angstrom": [[4.191, 0.006, -0.005], [-0.900, 10.672, 0.124], [0.646, -1.535, 3.845]],
  "species": ["Ni", "Ni", "As", "As", "K", "K"],
  "fractional_positions": [[0.033, 0.137, 0.407], [0.621, 0.137, 0.994], [0.122, 0.036, 0.805], [0.532, 0.238, 0.596], [0.060, 0.427, 0.257], [0.595, 0.846, 0.144]]
}

---

(3)
{
  "formula": "K2Ni3As4",
  "functional": "PBE",
  "state": "optimized geometry",
  "magmom_total_mub_per_fu": 0.0,
  "total_energy_ev_per_atom": -4.55,
  "crystal_system": "orthorhombic",
  "formation_energy_ev_per_atom": -0.311,
  "lattice_angstrom": [[5.409, -0.049, 0.000], [-2.557, 4.766, 0.000], [-1.426, -2.358, 8.112]],
  "species": ["K", "K", "Ni", "Ni", "Ni", "As", "As", "As", "As"],
  "fractional_positions": [[0.673, 0.673, 0.346], [0.327, 0.327, 0.654], [0.500, 0.000, 0.000], [0.000, 0.000, 0.000], [0.000, 0.500, 0.000], [0.274, 0.942, 0.216], [0.058, 0.726, 0.784], [0.942, 0.274, 0.216], [0.726, 0.058, 0.784]]
}

---

(4)
{
  "formula": "KNiAs",
  "functional": "PBE",
  "state": "optimized geometry",
  "magmom_total_mub_per_fu": 0.7,
  "total_energy_ev_per_atom": -3.42,
  "crystal_system": "cubic",
  "formation_energy_ev_per_atom": 0.422,
  "lattice_angstrom": [[4.558, 0.000, 0.000], [2.279, 3.948, 0.000], [2.279, 1.316, 3.722]],
  "species": ["As", "K", "Ni"],
  "fractional_positions": [[0.000, 0.000, 0.000], [0.500, 0.500, 0.500], [0.750, 0.750, 0.750]]
}